Material: LaReCl2
Method: DFT, GGA-PBE
State: relaxed

## Properties
Raw formation energy, eV per atom: 0.114
E above lowest polymorph, eV/atom: 0.585
Space-group type: Pmmm, No. 47
Crystal system: orthorhombic
V, Å³ per cell: 95

The structure in POSCAR format:
```
LaReCl2
1.0
3.3685 0.0000 0.0000
0.0000 4.1792 0.0000
0.0000 0.0000 6.7156
La Re Cl
1 1 2
direct
0.0000 0.0000 0.0000 La
0.0000 0.0000 0.5000 Re
0.5000 0.5000 0.2242 Cl
0.5000 0.5000 0.7758 Cl
```